First-principles (GGA+U) data for a relaxed BaFeIO2 crystal, as listed in the Alexandria database.

Results
- E: -5.556 eV per atom
- Magnetic moment: 6.0 Bohr magnetons per cell
- Density: 4.62 g/cm3

a = 5.544 Å, b = 6.050 Å, c = 8.127 Å
α = 111.85°, β = 90.00°, γ = 90.00°
Fractional coordinates of all 10 atoms:
Ba: 0.250 0.611 0.223
Ba: 0.750 0.389 0.777
I: 0.750 0.758 0.516
I: 0.250 0.242 0.484
Fe: 0.750 0.007 0.014
Fe: 0.250 0.993 0.986
O: 0.500 0.211 0.000
O: 0.500 0.789 0.000
O: 0.000 0.211 0.000
O: 0.000 0.789 0.000